{
  "formula": "Sr2In3Sn5",
  "functional": "PBE",
  "state": "relaxed",
  "lattice_angstrom": [[-5.2928, 8.0743, 3.7008], [5.2928, -8.0743, 3.7008], [5.2928, 8.0743, -3.7008]],
  "species": ["Sr", "Sr", "Sr", "Sr", "In", "In", "In", "In", "In", "In", "Sn", "Sn", "Sn", "Sn", "Sn", "Sn", "Sn", "Sn", "Sn", "Sn"],
  "fractional_positions": [[0.1279, 0.2485, 0.3764], [0.3721, 0.7485, 0.1205], [0.6279, 0.2515, 0.8795], [0.8721, 0.7515, 0.6236], [0.1248, 0.6175, 0.7423], [0.2500, 0.2500, 0.0000], [0.3752, 0.1175, 0.4927], [0.6248, 0.8825, 0.5073], [0.7500, 0.7500, 0.0000], [0.8752, 0.3825, 0.2577], [0.0016, 0.7500, 0.2516], [0.1233, 0.8869, 0.0102], [0.2500, 0.7500, 0.5000], [0.3767, 0.3869, 0.7636], [0.4984, 0.7500, 0.7484], [0.5016, 0.2500, 0.2516], [0.6233, 0.6131, 0.2364], [0.7500, 0.2500, 0.5000], [0.8767, 0.1131, 0.9898], [0.9984, 0.2500, 0.7484]],
  "spacegroup": "No. 72",
  "crystal_system": "orthorhombic",
  "e_form_ev_per_atom": -0.241
}

***

{
  "formula": "PmBeZn3",
  "functional": "PBE",
  "state": "relaxed",
  "lattice_angstrom": [[4.4492, 0.0000, 0.0000], [0.0000, 4.4492, 0.0000], [0.0000, 0.0000, 4.4492]],
  "species": ["Pm", "Be", "Zn", "Zn", "Zn"],
  "fractional_positions": [[0.0000, 0.0000, 0.0000], [0.5000, 0.5000, 0.5000], [0.0000, 0.5000, 0.5000], [0.5000, 0.0000, 0.5000], [0.5000, 0.5000, 0.0000]],
  "spacegroup": "No. 221",
  "crystal_system": "cubic",
  "e_form_ev_per_atom": -0.094
}

***

{
  "formula": "AlPbO2F",
  "functional": "PBE",
  "state": "relaxed",
  "lattice_angstrom": [[3.8719, 0.0000, 0.0000], [0.0000, 3.8719, 0.0000], [0.0000, 0.0000, 3.8881]],
  "species": ["Al", "Pb", "O", "O", "F"],
  "fractional_positions": [[0.0000, 0.0000, 0.0000], [0.5000, 0.5000, 0.5000], [0.0000, 0.5000, 0.0000], [0.5000, 0.0000, 0.0000], [0.0000, 0.0000, 0.5000]],
  "formation_energy_uncorrected_mev_per_atom": -2259.4,
  "spacegroup": "No. 123",
  "crystal_system": "tetragonal"
}

***

{
  "formula": "Ac2BiRh",
  "functional": "PBE",
  "state": "relaxed",
  "lattice_angstrom": [[4.5630, 0.0000, 0.0000], [-2.2815, 3.9517, 0.0000], [0.0000, 0.0000, 22.8809]],
  "species": ["Ac", "Ac", "Ac", "Ac", "Ac", "Ac", "Bi", "Bi", "Bi", "Rh", "Rh", "Rh"],
  "fractional_positions": [[0.0000, 0.0000, 0.2380], [0.0000, 0.0000, 0.7620], [0.3333, 0.6667, 0.4287], [0.3333, 0.6667, 0.9046], [0.6667, 0.3333, 0.0954], [0.6667, 0.3333, 0.5713], [0.0000, 0.0000, 0.0000], [0.3333, 0.6667, 0.6667], [0.6667, 0.3333, 0.3333], [0.0000, 0.0000, 0.5000], [0.3333, 0.6667, 0.1667], [0.6667, 0.3333, 0.8333]],
  "spacegroup": "No. 166",
  "crystal_system": "trigonal",
  "e_form_ev_per_atom": -0.686
}

***

{
  "formula": "Pa4Ga12W",
  "functional": "PBE",
  "state": "relaxed",
  "lattice_angstrom": [[-4.3280, 4.3280, 4.3280], [4.3280, -4.3280, 4.3280], [4.3280, 4.3280, -4.3280]],
  "species": ["Pa", "Pa", "Pa", "Pa", "Ga", "Ga", "Ga", "Ga", "Ga", "Ga", "Ga", "Ga", "Ga", "Ga", "Ga", "Ga", "W"],
  "fractional_positions": [[0.0000, 0.0000, 0.5000], [0.0000, 0.5000, 0.0000], [0.5000, 0.0000, 0.0000], [0.5000, 0.5000, 0.5000], [0.0000, 0.2976, 0.2976], [0.0000, 0.7024, 0.7024], [0.2500, 0.5000, 0.7500], [0.2500, 0.7500, 0.5000], [0.2976, 0.0000, 0.2976], [0.2976, 0.2976, 0.0000], [0.5000, 0.2500, 0.7500], [0.5000, 0.7500, 0.2500], [0.7024, 0.0000, 0.7024], [0.7024, 0.7024, 0.0000], [0.7500, 0.2500, 0.5000], [0.7500, 0.5000, 0.2500], [0.0000, 0.0000, 0.0000]],
  "spacegroup": "No. 229",
  "crystal_system": "cubic",
  "e_form_ev_per_atom": -0.360
}

***

{
  "formula": "SrZr2Fe",
  "functional": "PBE",
  "state": "relaxed",
  "lattice_angstrom": [[4.6428, 0.0000, 0.0000], [0.0000, 4.6428, 0.0000], [0.0000, 0.0000, 8.7607]],
  "species": ["Sr", "Sr", "Zr", "Zr", "Zr", "Zr", "Fe", "Fe"],
  "fractional_positions": [[0.0000, 0.0000, 0.0000], [0.5000, 0.5000, 0.5000], [0.0000, 0.0000, 0.5000], [0.0000, 0.5000, 0.7500], [0.5000, 0.0000, 0.2500], [0.5000, 0.5000, 0.0000], [0.0000, 0.5000, 0.2500], [0.5000, 0.0000, 0.7500]],
  "spacegroup": "No. 119",
  "crystal_system": "tetragonal",
  "e_form_ev_per_atom": 0.745
}

***

{
  "formula": "CeSm2Sb",
  "functional": "PBE",
  "state": "relaxed",
  "lattice_angstrom": [[7.6902, 0.0000, 0.0000], [0.0000, 7.6902, 0.0000], [0.0000, 0.0000, 7.6902]],
  "species": ["Ce", "Ce", "Ce", "Ce", "Sm", "Sm", "Sm", "Sm", "Sm", "Sm", "Sm", "Sm", "Sb", "Sb", "Sb", "Sb"],
  "fractional_positions": [[0.0000, 0.0000, 0.0000], [0.0000, 0.5000, 0.5000], [0.5000, 0.0000, 0.5000], [0.5000, 0.5000, 0.0000], [0.2500, 0.2500, 0.2500], [0.2500, 0.2500, 0.7500], [0.2500, 0.7500, 0.2500], [0.2500, 0.7500, 0.7500], [0.7500, 0.2500, 0.2500], [0.7500, 0.2500, 0.7500], [0.7500, 0.7500, 0.2500], [0.7500, 0.7500, 0.7500], [0.0000, 0.0000, 0.5000], [0.0000, 0.5000, 0.0000], [0.5000, 0.0000, 0.0000], [0.5000, 0.5000, 0.5000]],
  "formation_energy_uncorrected_mev_per_atom": -259.7,
  "spacegroup": "No. 225",
  "crystal_system": "cubic"
}

***

{
  "formula": "CoSbAs2",
  "functional": "PBE",
  "state": "relaxed",
  "lattice_angstrom": [[3.1618, 0.0000, 0.0000], [0.0000, 4.1347, 0.0000], [0.0000, 0.0000, 11.7633]],
  "species": ["Co", "Co", "Sb", "Sb", "As", "As", "As", "As"],
  "fractional_positions": [[0.0000, 0.0000, 0.0000], [0.5000, 0.5000, 0.5000], [0.0000, 0.5000, 0.3119], [0.5000, 0.0000, 0.8119], [0.0000, 0.0000, 0.4940], [0.0000, 0.5000, 0.6546], [0.5000, 0.0000, 0.1546], [0.5000, 0.5000, 0.9940]],
  "formation_energy_uncorrected_mev_per_atom": 162.9,
  "spacegroup": "No. 44",
  "crystal_system": "orthorhombic"
}

***

{
  "formula": "TcHg2Te",
  "functional": "PBE",
  "state": "relaxed",
  "lattice_angstrom": [[3.1875, 0.0000, 0.0000], [0.0000, 3.2166, 0.0000], [-1.5696, 0.0000, 9.3922]],
  "species": ["Tc", "Hg", "Hg", "Te"],
  "fractional_positions": [[0.0000, 0.0000, 0.0000], [0.2484, 0.0000, 0.4993], [0.3992, 0.5000, 0.7949], [0.5776, 0.5000, 0.1577]],
  "formation_energy_uncorrected_mev_per_atom": 154.7,
  "spacegroup": "No. 6",
  "crystal_system": "monoclinic"
}

***

{
  "formula": "Be3Co",
  "functional": "PBE",
  "state": "relaxed",
  "lattice_angstrom": [[4.0948, 0.0000, 0.0000], [0.0000, 4.0948, 0.0000], [0.0000, 0.0000, 4.0948]],
  "species": ["Be", "Be", "Be", "Be", "Be", "Be", "Co", "Co"],
  "fractional_positions": [[0.0000, 0.2500, 0.5000], [0.0000, 0.7500, 0.5000], [0.2500, 0.5000, 0.0000], [0.5000, 0.0000, 0.2500], [0.5000, 0.0000, 0.7500], [0.7500, 0.5000, 0.0000], [0.0000, 0.0000, 0.0000], [0.5000, 0.5000, 0.5000]],
  "spacegroup": "No. 223",
  "crystal_system": "cubic",
  "e_form_ev_per_atom": -0.042
}

***

{
  "formula": "AcNpZn4",
  "functional": "PBE",
  "state": "relaxed",
  "lattice_angstrom": [[0.0000, 3.9958, 3.9958], [3.9958, 0.0000, 3.9958], [3.9958, 3.9958, 0.0000]],
  "species": ["Ac", "Np", "Zn", "Zn", "Zn", "Zn"],
  "fractional_positions": [[0.0000, 0.0000, 0.0000], [0.7500, 0.7500, 0.7500], [0.3764, 0.3764, 0.3764], [0.3764, 0.3764, 0.8708], [0.3764, 0.8708, 0.3764], [0.8708, 0.3764, 0.3764]],
  "spacegroup": "No. 216",
  "crystal_system": "cubic",
  "e_form_ev_per_atom": 0.022
}

***

{
  "formula": "SrIn3",
  "functional": "PBE",
  "state": "relaxed",
  "lattice_angstrom": [[4.8727, 0.0000, 0.0000], [0.0000, 4.8727, 0.0000], [0.0000, 0.0000, 9.8684]],
  "species": ["Sr", "Sr", "In", "In", "In", "In", "In", "In"],
  "fractional_positions": [[0.0000, 0.0000, 0.0000], [0.5000, 0.5000, 0.5000], [0.0000, 0.0000, 0.5000], [0.0000, 0.5000, 0.2500], [0.0000, 0.5000, 0.7500], [0.5000, 0.0000, 0.2500], [0.5000, 0.0000, 0.7500], [0.5000, 0.5000, 0.0000]],
  "spacegroup": "No. 139",
  "crystal_system": "tetragonal",
  "e_form_ev_per_atom": -0.262
}